No. 1
SmDyGe2, optimized geometry, DFT PBE-GGA; total energy = -5.500 eV per atom; D(E_F) = 0.591 states/eV/atom
1.0
-1.8100 -2.7899 -2.2253
4.8813 -3.2244 0.0721
-2.5395 -3.6946 6.6976
Sm Dy Ge
2 2 4
Direct
0.0000 0.1319 0.6809
0.0000 0.8681 0.1809
0.5000 0.3687 0.3187
0.5000 0.6313 0.8187
0.0000 0.6067 0.5406
0.0000 0.3933 0.0406
0.5000 0.8912 0.4598
0.5000 0.1088 0.9598

=====

No. 2
Sr3Zn2Pb2Au4, optimized geometry, DFT PBE-GGA; total energy = -3.025 eV per atom; D(E_F) = 0.670 states/eV/atom
1.0
-1.5408 -4.3884 -0.0256
1.0864 2.1067 -4.0019
15.2366 -5.3574 1.3163
Sr Zn Pb Au
3 2 2 4
Direct
0.0000 0.0000 0.7430
0.0000 0.0000 0.0000
0.0000 0.0000 0.2570
0.6667 0.3333 0.8681
0.3333 0.6667 0.1319
0.6667 0.3333 0.4375
0.3333 0.6667 0.5625
0.6667 0.3333 0.1258
0.3333 0.6667 0.8742
0.6667 0.3333 0.6344
0.3333 0.6667 0.3656

=====

No. 3
Dy2Er2TmSc, optimized geometry, DFT PBE-GGA; total energy = -4.759 eV per atom; D(E_F) = 2.074 states/eV/atom
1.0
-0.0638 -0.9194 5.4046
9.2219 -2.1505 -0.2570
1.5649 6.5750 1.1370
Dy Er Tm Sc
4 4 2 2
Direct
0.5000 0.8332 0.2482
0.5000 0.1668 0.7518
0.0000 0.6668 0.7482
0.0000 0.3332 0.2518
0.5000 0.1666 0.2482
0.0000 0.6666 0.2518
0.5000 0.8334 0.7518
0.0000 0.3334 0.7482
0.5000 0.5000 0.0000
0.0000 0.0000 0.5000
0.0000 0.0000 0.0000
0.5000 0.5000 0.5000

=====

No. 4
PaAl2Ag, optimized geometry, DFT PBE-GGA; total energy = -5.043 eV per atom; D(E_F) = 0.957 states/eV/atom; relative energy among the computed polymorphs = 4.0 kJ/mol of atoms
1.0
4.3012 0.0000 0.0000
0.0000 4.1238 0.0000
0.0000 -2.0619 9.2853
Pa Al Ag
2 4 2
Direct
0.2500 0.9037 0.8074
0.7500 0.0963 0.1926
0.2500 0.2523 0.5046
0.7500 0.7477 0.4954
0.7500 0.4661 0.9322
0.2500 0.5339 0.0678
0.7500 0.3320 0.6640
0.2500 0.6680 0.3360

=====

No. 5
Ti2Tl3NiSe6, optimized geometry, DFT PBE-GGA; total energy = -4.779 eV per atom; D(E_F) = 0.513 states/eV/atom
1.0
-2.3079 -5.9438 0.7210
6.1538 0.8717 -1.5956
0.7216 1.8396 8.0478
Ti Tl Ni Se
2 3 1 6
Direct
0.3333 0.6667 0.0000
0.6667 0.3333 0.0000
0.1669 0.8331 0.5000
0.8331 0.1669 0.5000
0.5000 0.5000 0.5000
0.0000 0.0000 0.0000
0.9412 0.6165 0.8221
0.7342 0.7342 0.1776
0.0588 0.3835 0.1779
0.6165 0.9412 0.8221
0.2658 0.2658 0.8224
0.3835 0.0588 0.1779

=====

No. 6
HfZrCoTc, optimized geometry, DFT PBE-GGA; total energy = -9.416 eV per atom; D(E_F) = 0.318 states/eV/atom; relative energy among the computed polymorphs = 0.0 kJ/mol of atoms
1.0
-0.8176 2.5862 -3.6728
-4.1122 -0.0845 -1.9820
-2.7658 3.6180 0.3254
Co Hf Tc Zr
1 1 1 1
Direct
0.2500 0.2500 0.2500
0.5000 0.5000 0.5000
0.7500 0.7500 0.7500
0.0000 0.0000 0.0000

=====

No. 7
FeHgPb2, optimized geometry, DFT PBE-GGA; total energy = -3.709 eV per atom; D(E_F) = 0.817 states/eV/atom
1.0
7.4916 0.0580 -0.0003
5.3445 5.2501 0.0003
-6.0151 -3.6284 2.6039
Fe Hg Pb
1 1 2
Direct
0.7500 0.2500 0.5000
0.2500 0.7500 0.5000
0.9237 0.9237 0.0000
0.5763 0.5763 0.0000

=====

No. 8
OsRuSeBr2, optimized geometry, DFT PBE-GGA; total energy = -4.240 eV per atom; D(E_F) = 0.699 states/eV/atom; relative energy among the computed polymorphs = 0.0 kJ/mol of atoms
1.0
5.2813 0.0000 0.0000
0.0000 5.2813 0.0000
0.0000 0.0000 4.6062
Ru Os Se Br
1 1 1 2
Direct
0.5000 0.5000 0.5000
0.0000 0.0000 0.0000
0.0000 0.0000 0.5000
0.0000 0.5000 0.0000
0.5000 0.0000 0.0000

=====

No. 9
Sn3Bi2Se8, optimized geometry, DFT PBE-GGA; total energy = -3.948 eV per atom; D(E_F) = 0.231 states/eV/atom
1.0
7.1870 0.0000 0.2216
0.0000 7.8667 0.0000
-2.6378 -3.9333 7.0800
Sn Bi Se
3 2 8
Direct
0.5000 0.0000 0.0000
0.0000 0.2650 0.0000
0.0000 0.7350 0.0000
0.3340 0.2367 0.4735
0.6660 0.7633 0.5265
0.8996 0.6034 0.2068
0.1004 0.3966 0.7932
0.9211 0.1089 0.2178
0.0789 0.8911 0.7822
0.6098 0.6289 0.7637
0.6098 0.1348 0.7637
0.3902 0.8652 0.2363
0.3902 0.3711 0.2363

=====

No. 10
ErTh2As2Se2, optimized geometry, DFT PBE-GGA; total energy = -6.196 eV per atom; D(E_F) = 0.484 states/eV/atom
1.0
-1.0320 0.4020 5.1594
-4.4258 -2.7951 -0.6675
6.4807 -5.0393 -1.0096
Er Th As Se
1 2 2 2
Direct
0.0000 0.0000 0.0000
0.3831 0.3831 0.7661
0.6169 0.6169 0.2339
0.0000 0.5000 0.0000
0.5000 0.0000 0.0000
0.1911 0.1911 0.3822
0.8089 0.8089 0.6178

=====

No. 11
AcYRu4, optimized geometry, DFT PBE-GGA; total energy = -8.017 eV per atom; D(E_F) = 1.522 states/eV/atom
1.0
5.4586 0.0000 0.0000
2.7293 4.7273 0.0000
2.7293 1.5758 4.4569
Y Ru Ac
1 4 1
Direct
0.0000 0.0000 0.0000
0.6257 0.6257 0.1229
0.6257 0.1229 0.6257
0.6257 0.6257 0.6257
0.1229 0.6257 0.6257
0.2500 0.2500 0.2500

=====

No. 12
CsPuReO6, optimized geometry, DFT PBE-GGA; total energy = -8.534 eV per atom; D(E_F) = 0.666 states/eV/atom
1.0
7.7888 0.0000 0.0000
0.0000 7.4650 0.0000
-3.8944 -3.7325 5.4285
Cs Pu Re O
2 2 2 12
Direct
0.8674 0.6174 0.7349
0.1326 0.3826 0.2651
0.5000 0.0000 0.5000
0.0000 0.0000 0.5000
0.5000 0.5000 0.0000
0.5000 0.0000 0.0000
0.4589 0.7089 0.9179
0.8242 0.0742 0.6485
0.7940 0.0784 0.2411
0.4471 0.6627 0.2411
0.4471 0.0784 0.2411
0.7940 0.6627 0.2411
0.5411 0.2911 0.0821
0.1758 0.9258 0.3515
0.2060 0.9216 0.7589
0.5529 0.3373 0.7589
0.5529 0.9216 0.7589
0.2060 0.3373 0.7589

=====

No. 13
Sm4Ga2I5, optimized geometry, DFT PBE-GGA; total energy = -3.923 eV per atom; D(E_F) = 0.430 states/eV/atom
1.0
4.2623 0.0000 0.0000
0.0000 8.5820 1.0663
-2.1312 -1.2045 12.0121
Sm Ga I
4 2 5
Direct
0.6615 0.5563 0.3231
0.0177 0.7087 0.0355
0.3385 0.4437 0.6769
0.9823 0.2913 0.9645
0.5498 0.4716 0.0996
0.4502 0.5284 0.9004
0.1452 0.8207 0.2904
0.8548 0.1793 0.7096
0.2080 0.3169 0.4159
0.5000 0.0000 0.0000
0.7920 0.6831 0.5841

=====

No. 14
Cd5GaPt6, optimized geometry, DFT PBE-GGA; total energy = -4.026 eV per atom; D(E_F) = 0.192 states/eV/atom
1.0
4.2195 -0.2679 0.6841
-0.0211 7.0396 2.8867
1.0064 1.0248 7.5353
Pt Ga Cd
6 1 5
Direct
0.8402 0.6049 0.3187
0.8402 0.0764 0.3187
0.5000 0.7782 0.0000
0.5000 0.2218 0.0000
0.1598 0.9236 0.6813
0.1598 0.3951 0.6813
0.0000 0.0000 0.0000
0.6807 0.1804 0.6393
0.3410 0.3409 0.3182
0.0000 0.5000 0.0000
0.6590 0.6591 0.6818
0.3193 0.8196 0.3607

=====

No. 15
NaLi3Si, optimized geometry, DFT PBE-GGA; total energy = -1.882 eV per atom; D(E_F) = 0.447 states/eV/atom; relative energy among the computed polymorphs = 65.9 kJ/mol of atoms
1.0
4.6636 0.0000 0.0000
0.0000 4.6636 0.0000
0.0000 0.0000 4.6636
Na Si Li
1 1 3
Direct
0.0000 0.0000 0.0000
0.5000 0.5000 0.5000
0.0000 0.5000 0.0000
0.0000 0.0000 0.5000
0.5000 0.0000 0.0000

=====

No. 16
La3Ho2Sn3, optimized geometry, DFT PBE-GGA; total energy = -5.198 eV per atom; D(E_F) = 1.064 states/eV/atom
1.0
-2.7871 -4.6992 3.9026
8.2296 -4.3093 0.6883
-2.3628 6.5447 6.1931
La Ho Sn
6 4 6
Direct
0.7500 0.2459 0.0000
0.7500 0.7541 0.7541
0.7500 0.0000 0.2459
0.2500 0.7541 0.0000
0.2500 0.2459 0.2459
0.2500 0.0000 0.7541
0.0000 0.3333 0.6667
0.5000 0.6667 0.3333
0.0000 0.6667 0.3333
0.5000 0.3333 0.6667
0.7500 0.6019 0.0000
0.7500 0.3981 0.3981
0.7500 0.0000 0.6019
0.2500 0.3981 0.0000
0.2500 0.6019 0.6019
0.2500 0.0000 0.3981

=====

No. 17
SrMgZr, optimized geometry, DFT PBE-GGA; total energy = -3.101 eV per atom; D(E_F) = 1.729 states/eV/atom; relative energy among the computed polymorphs = 66.8 kJ/mol of atoms
1.0
5.3198 0.0000 0.0000
2.6599 4.6071 0.0000
2.6599 1.5357 4.3436
Mg Sr Zr
1 1 1
Direct
0.7500 0.7500 0.7500
0.0000 0.0000 0.0000
0.5000 0.5000 0.5000

=====

No. 18
Ba2FeHg, optimized geometry, DFT PBE-GGA; total energy = -3.008 eV per atom; D(E_F) = 1.556 states/eV/atom
1.0
4.7684 0.0000 0.0000
0.0000 4.9637 -0.0285
0.0000 2.5189 6.1757
Ba Fe Hg
2 1 1
Direct
0.0000 0.9844 0.9062
0.5000 0.2711 0.3325
0.0000 0.6717 0.5314
0.5000 0.5727 0.7298

=====

No. 19
ZnAsCl2, optimized geometry, DFT PBE-GGA; total energy = -2.148 eV per atom; D(E_F) = 0.444 states/eV/atom; relative energy among the computed polymorphs = 65.8 kJ/mol of atoms
1.0
3.1291 0.0000 0.0000
0.0000 4.0340 0.0000
0.0000 0.0000 6.4031
As Zn Cl
1 1 2
Direct
0.5000 0.5000 0.7500
0.5000 0.5000 0.2500
0.0000 0.0000 0.9951
0.0000 0.0000 0.5049

=====

No. 20
Zr2HgBr, optimized geometry, DFT PBE-GGA; total energy = -4.962 eV per atom; D(E_F) = 0.914 states/eV/atom; relative energy among the computed polymorphs = 18.9 kJ/mol of atoms
1.0
-2.8149 0.6661 -4.3661
-2.7560 -0.7411 1.6638
-1.4620 4.8419 1.6812
Br Hg Zr
1 1 2
Direct
0.0000 0.3979 0.3953
0.5000 0.7161 0.8087
0.0000 0.0479 0.9668
0.5000 0.3380 0.3292